Entry 1:
The following is a PBE calculation of a geometry-optimized Er4NiRh3 structure, from the Alexandria database.

Cell lengths 3.338, 4.826, 9.641 Å; angles 90.00, 90.00, 90.00 degrees
Atoms (fractional coordinates):
Rh1 0.500 0.000 0.750
Rh2 0.500 0.000 0.250
Rh3 0.500 0.500 0.500
Er1 0.000 0.000 0.500
Er2 0.000 0.500 0.247
Er3 0.000 0.500 0.753
Er4 0.000 0.000 0.000
Ni1 0.500 0.500 0.000

- energy of formation from the pure elements (meV/atom) = -809

---

Entry 2:
The following is a PBE calculation of a geometry-optimized MgBeTe2N structure, from the Alexandria database.

Cell lengths 5.596, 5.596, 3.836 Å; angles 90.00, 90.00, 90.00 degrees
Each line ends with the local moment (μB).
Atoms (fractional coordinates):
Te1 0.000 0.500 0.000  0.09
Te2 0.500 0.000 0.000  0.09
Mg1 0.000 0.000 0.000  -0.01
Be1 0.500 0.500 0.500  0.02
N1 0.000 0.000 0.500  1.00

- E_form (uncorrected) (eV/atom) = 1.0492
- energy relative to the lowest polymorph listed for this composition (eV per formula unit) = 4.68

---

Entry 3:
The following is a PBE calculation of a geometry-optimized SrBiI2O structure, from the Alexandria database.

Cell lengths 6.427, 6.427, 4.277 Å; angles 90.00, 90.00, 90.00 degrees
Each line ends with the local moment (μB).
Atoms (fractional coordinates):
Bi1 0.500 0.500 0.500  0.38
Sr1 0.000 0.000 0.000  0.00
O1 0.000 0.000 0.500  0.01
I1 0.000 0.500 0.000  0.01
I2 0.500 0.000 0.000  0.01

- E_form (uncorrected) (eV/atom) = -0.5472
- energy relative to the lowest polymorph listed for this composition (eV per formula unit) = 1.03

---

| no. | volume (A^3/atom) | DOS at the Fermi energy (states/eV/f.u.) |
| --- | --- | --- |
| 1 | 19.417 | 3.49 |
| 2 | 24.022 | 3.95 |
| 3 | 35.334 | 4.47 |